No. 1
# PBE-GGA ScZnIn, optimized geometry
# - Energy of formation from the pure elements: -0.330 eV/atom
# - N(E_F): 4.07 states/eV/cell
data_ScZnIn
_chemical_formula_sum 'Sc2 Zn2 In2'
_symmetry_space_group_name_H-M 'P m m a'
_symmetry_Int_Tables_number 51
_cell_length_a 4.578
_cell_length_b 3.296
_cell_length_c 8.099
_cell_angle_alpha 90.00
_cell_angle_beta 90.00
_cell_angle_gamma 90.00
loop_
_symmetry_equiv_pos_as_xyz
'x,y,z'
'-x,-y,-z'
'-x+1/2,-y,z'
'x+1/2,y,-z'
'x+1/2,-y,-z'
'-x+1/2,y,z'
'-x,y,-z'
'x,-y,z'
loop_
_atom_site_label
_atom_site_fract_x
_atom_site_fract_y
_atom_site_fract_z
_atom_site_occupancy
Sc1 0.250 0.000 0.230 1
Zn1 0.250 0.500 0.934 1
In1 0.250 0.500 0.602 1



No. 2
# PBE-GGA Ca6In2PdO, optimized geometry
# - N(E_F): 13.34 states/eV/cell
# - Formation energy without anion corrections: -0.8482 eV/atom
data_Ca6In2PdO
_chemical_formula_sum 'Ca12 In4 Pd2 O2'
_symmetry_space_group_name_H-M 'P m m n'
_symmetry_Int_Tables_number 59
_cell_length_a 7.351
_cell_length_b 10.356
_cell_length_c 7.351
_cell_angle_alpha 90.00
_cell_angle_beta 90.00
_cell_angle_gamma 90.00
loop_
_symmetry_equiv_pos_as_xyz
'x,y,z'
'-x,-y,-z'
'-x+1/2,-y+1/2,z'
'x+1/2,y+1/2,-z'
'x+1/2,-y,-z'
'-x+1/2,y,z'
'-x,y+1/2,-z'
'x,-y+1/2,z'
loop_
_atom_site_label
_atom_site_fract_x
_atom_site_fract_y
_atom_site_fract_z
_atom_site_occupancy
Ca1 0.014 0.250 0.015 1
Ca2 0.015 0.250 0.486 1
Ca3 0.250 0.015 0.250 1
In1 0.250 0.000 0.750 1
Pd1 0.250 0.750 0.249 1
O1 0.250 0.250 0.250 1



No. 3
# PBE-GGA CoAsI2N, optimized geometry
# - Energy above the lowest structure with this stoichiometry: 494.8 meV per atom
# - N(E_F): 5.40 states/eV/cell
# - Formation energy without anion corrections: 1.1405 eV/atom
data_CoAsI2N
_chemical_formula_sum 'Co1 As1 I2 N1'
_symmetry_space_group_name_H-M 'P 4/m m m'
_symmetry_Int_Tables_number 123
_symmetry_space_group_name_Hall '-P 4 2'
_cell_length_a 5.867
_cell_length_b 5.867
_cell_length_c 3.663
_cell_angle_alpha 90.00
_cell_angle_beta 90.00
_cell_angle_gamma 90.00
loop_
_atom_site_label
_atom_site_fract_x
_atom_site_fract_y
_atom_site_fract_z
_atom_site_occupancy
Co1 0.000 0.000 0.000 1
As1 0.500 0.500 0.500 1
I1 0.000 0.500 0.500 1
N1 0.500 0.500 0.000 1



No. 4
# PBE-GGA Y3NbTc, optimized geometry
# - Energy of formation from the pure elements: 1.176 eV/atom
# - Energy above the lowest structure with this stoichiometry: 505.4 meV per atom
# - N(E_F): 6.69 states/eV/cell
data_Y3NbTc
_chemical_formula_sum 'Y3 Nb1 Tc1'
_symmetry_space_group_name_H-M 'P m -3 m'
_symmetry_Int_Tables_number 221
_symmetry_space_group_name_Hall '-P 4 2 3'
_cell_length_a 5.306
_cell_length_b 5.306
_cell_length_c 5.306
_cell_angle_alpha 90.00
_cell_angle_beta 90.00
_cell_angle_gamma 90.00
loop_
_atom_site_label
_atom_site_fract_x
_atom_site_fract_y
_atom_site_fract_z
_atom_site_occupancy
Y1 0.000 0.000 0.500 1
Nb1 0.000 0.000 0.000 1
Tc1 0.500 0.500 0.500 1



No. 5
# PBE-GGA Sr3CdCl2F6, optimized geometry
# - N(E_F): 0.00 states/eV/cell
# - Formation energy without anion corrections: -3.0097 eV/atom
data_Sr3CdCl2F6
_chemical_formula_sum 'Sr6 Cd2 Cl4 F12'
_symmetry_space_group_name_H-M 'C 1 2/m 1'
_symmetry_Int_Tables_number 12
_cell_length_a 13.278
_cell_length_b 7.492
_cell_length_c 5.385
_cell_angle_alpha 90.00
_cell_angle_beta 98.54
_cell_angle_gamma 90.00
loop_
_symmetry_equiv_pos_as_xyz
'x,y,z'
'-x,-y,-z'
'-x,y,-z'
'x,-y,z'
'x+1/2,y+1/2,z'
'-x+1/2,-y+1/2,-z'
'-x+1/2,y+1/2,-z'
'x+1/2,-y+1/2,z'
loop_
_atom_site_label
_atom_site_fract_x
_atom_site_fract_y
_atom_site_fract_z
_atom_site_occupancy
Sr1 0.000 0.000 0.000 1
Sr2 0.250 0.250 0.500 1
Cd1 0.000 0.500 0.500 1
Cl1 0.199 0.000 0.864 1
F1 0.069 0.244 0.296 1
F2 0.163 0.500 0.648 1



No. 6
# PBE-GGA Mg2MnZnH, optimized geometry
# - Raw total energy: -3.355 eV/atom
# - N(E_F): 1.65 states/eV/cell
data_Mg2MnZnH
_chemical_formula_sum 'Mg2 Mn1 Zn1 H1'
_symmetry_space_group_name_H-M 'P 4/m m m'
_symmetry_Int_Tables_number 123
_symmetry_space_group_name_Hall '-P 4 2'
_cell_length_a 4.386
_cell_length_b 4.386
_cell_length_c 3.599
_cell_angle_alpha 90.00
_cell_angle_beta 90.00
_cell_angle_gamma 90.00
loop_
_atom_site_label
_atom_site_fract_x
_atom_site_fract_y
_atom_site_fract_z
_atom_site_occupancy
Mg1 0.000 0.500 0.000 1
Mn1 0.000 0.000 0.500 1
Zn1 0.500 0.500 0.500 1
H1 0.000 0.000 0.000 1



No. 7
# PBE-GGA BaSbOs3, optimized geometry
# - Energy above the lowest structure with this stoichiometry: 1794.5 meV per atom
# - N(E_F): 8.21 states/eV/cell
# - Formation energy without anion corrections: 3.5176 eV/atom
data_BaSbOs3
_chemical_formula_sum 'Ba1 Sb1 Os3'
_symmetry_space_group_name_H-M 'P m -3 m'
_symmetry_Int_Tables_number 221
_symmetry_space_group_name_Hall '-P 4 2 3'
_cell_length_a 5.076
_cell_length_b 5.076
_cell_length_c 5.076
_cell_angle_alpha 90.00
_cell_angle_beta 90.00
_cell_angle_gamma 90.00
loop_
_atom_site_label
_atom_site_fract_x
_atom_site_fract_y
_atom_site_fract_z
_atom_site_occupancy
Ba1 0.000 0.000 0.000 1
Sb1 0.500 0.500 0.500 1
Os1 0.000 0.000 0.500 1



No. 8
# PBE-GGA CdCu2Pb, optimized geometry
# - Energy of formation from the pure elements: 0.258 eV/atom
# - Energy above the lowest structure with this stoichiometry: 106.9 meV per atom
# - N(E_F): 4.43 states/eV/cell
data_CdCu2Pb
_chemical_formula_sum 'Cd3 Cu6 Pb3'
_symmetry_space_group_name_H-M 'R 3 m'
_symmetry_Int_Tables_number 160
_symmetry_space_group_name_Hall 'R 3 -2"'
_cell_length_a 3.1693
_cell_length_b 3.1693
_cell_length_c 27.3999
_cell_angle_alpha 90.00
_cell_angle_beta 90.00
_cell_angle_gamma 120.00
loop_
_atom_site_label
_atom_site_fract_x
_atom_site_fract_y
_atom_site_fract_z
_atom_site_occupancy
Cd1 0.0000 0.0000 0.0000 1
Cu1 0.0000 0.0000 0.2557 1
Cu2 0.0000 0.0000 0.5276 1
Pb1 0.0000 0.0000 0.7773 1